1.
## RbNb3O7 (PBE)

Data for an optimized crystal structure of RbNb3O7.

Cell: 6.7256 6.7101 6.7101 Å, 120.00 90.00 90.00°
Closest atoms and distances in Å follow each position.
Fractional coordinates of all 11 atoms:
O 0.0080 0.3333 0.6667  3 Nb 2.08
O 0.6768 0.1955 0.8045  2 Nb 2.00
O 0.6768 0.6090 0.8045  2 Nb 2.00
O 0.9184 0.7991 0.2009  2 Nb 1.98
O 0.9184 0.4018 0.2009  2 Nb 1.98
O 0.9184 0.7991 0.5982  2 Nb 1.98
O 0.6768 0.1955 0.3910  2 Nb 2.00
Nb 0.8386 0.4829 0.9659  5 O 1.98-2.08
Nb 0.8386 0.4829 0.5171  5 O 1.98-2.08
Nb 0.8386 0.0341 0.5171  5 O 1.98-2.08
Rb 0.3059 0.6667 0.3333  3 O 3.03

Values from the calculation:
Electronic total energy in eV per formula unit: -88.0



2.
## Rb3NbO (PBE)

Data for an optimized crystal structure of Rb3NbO.

Cell: 5.7456 5.7456 5.7456 Å, 90.00 90.00 90.00°
Closest atoms and distances in Å follow each position.
Fractional coordinates of all 5 atoms:
Rb 0.0000 0.0000 0.5000  2 O 2.87
Rb 0.5000 0.0000 0.0000  2 O 2.87
Rb 0.0000 0.5000 0.0000  2 O 2.87
Nb 0.5000 0.5000 0.5000  12 Rb 4.06
O 0.0000 0.0000 0.0000  6 Rb 2.87

Values from the calculation:
Offset from the most stable computed form in eV per atom: 0.000



3.
## RbNbO3 (PBE)

Data for an optimized crystal structure of RbNbO3.

Cell: 5.1739 8.6367 9.1764 Å, 115.25 93.45 94.43°
Closest atoms and distances in Å follow each position.
Fractional coordinates of all 20 atoms:
Rb 0.5000 0.5000 0.5000  4 O 2.80-2.81
Rb 0.9088 0.2024 0.5958  6 O 2.86-3.10
Rb 0.5000 0.5000 0.0000  4 O 2.84-3.06
Rb 0.0912 0.7976 0.4042  6 O 2.86-3.10
O 0.7911 0.8722 0.7046  2 Nb 1.94-2.12
O 0.2089 0.1278 0.2954  2 Nb 1.94-2.12
O 0.2793 0.7822 0.7247  2 Nb 1.94-2.08
O 0.7207 0.2178 0.2753  2 Nb 1.94-2.08
O 0.1497 0.4401 0.2322  1 Nb 1.82
O 0.5974 0.8915 0.3130  1 Nb 1.82
O 0.4026 0.1085 0.6870  1 Nb 1.82
O 0.7797 0.2165 0.9612  2 Nb 1.98-2.01
O 0.7374 0.9237 0.0084  2 Nb 2.07-2.09
O 0.2203 0.7835 0.0388  2 Nb 1.98-2.01
O 0.2626 0.0763 0.9916  2 Nb 2.07-2.09
O 0.8503 0.5599 0.7678  1 Nb 1.82
Nb 0.5245 0.0124 0.8152  3 O 1.82-2.01
Nb 0.0033 0.2173 0.1447  3 O 1.82-1.98
Nb 0.9967 0.7827 0.8553  3 O 1.82-1.98
Nb 0.4755 0.9876 0.1848  3 O 1.82-2.01

Values from the calculation:
Electronic total energy in eV per formula unit: -38.1



4.
## RbNb3O8 (PBE)

Data for an optimized crystal structure of RbNb3O8.

Cell: 3.8179 7.8822 7.1361 Å, 107.49 105.52 90.00°
Closest atoms and distances in Å follow each position.
Fractional coordinates of all 12 atoms:
Nb 0.6755 0.2701 0.3511  4 O 1.82-2.04
Nb 0.3948 0.2900 0.7897  1 O 1.76
Nb 0.6238 0.7318 0.2475  4 O 1.83-1.96
O 0.3476 0.0554 0.6952  1 Nb 1.76
O 0.5389 0.2751 0.0779  2 Nb 1.89-2.02
O 0.4923 0.5786 0.9846  1 Nb 1.83
O 0.8581 0.3324 0.7163  2 Nb 2.03
O 0.6453 0.0277 0.2906  1 Nb 1.82
O 0.1430 0.7889 0.2859  2 Nb 1.96
O 0.7031 0.5774 0.4063  1 Nb 1.87
O 0.2290 0.3145 0.4580  2 Nb 2.04
Rb 0.3468 0.7278 0.6936  4 O 2.58-2.74

Values from the calculation:
Offset from the most stable computed form in eV per atom: 0.071



5.
## Rb4Nb11O30 (PBE)

Data for an optimized crystal structure of Rb4Nb11O30.

Cell: 7.6141 7.6141 15.3739 Å, 75.66 75.66 60.00°
Closest atoms and distances in Å follow each position.
Fractional coordinates of all 45 atoms:
O 0.9985 0.3711 0.6320  2 Nb 1.92-2.02
O 0.7016 0.7016 0.5235  2 Nb 2.01
O 0.8681 0.5195 0.0929  2 Nb 1.95
O 0.8771 0.3038 0.9419  3 Nb 2.10-2.17
O 0.0015 0.6289 0.3680  2 Nb 1.92-2.02
O 0.9266 0.2984 0.4765  2 Nb 2.01
O 0.8219 0.1930 0.7921  1 Nb 1.86
O 0.7016 0.0734 0.5235  2 Nb 2.01
O 0.6289 0.0015 0.3680  2 Nb 1.92-2.02
O 0.6962 0.1229 0.0581  3 Nb 2.10-2.17
O 0.8070 0.8070 0.2079  1 Nb 1.86
O 0.0015 0.0015 0.3680  2 Nb 1.92-2.02
O 0.3711 0.9985 0.6320  2 Nb 1.92-2.02
O 0.3038 0.8771 0.9419  3 Nb 2.10-2.17
O 0.1930 0.8219 0.7921  1 Nb 1.86
O 0.2984 0.9266 0.4765  2 Nb 2.01
O 0.4805 0.4805 0.9071  2 Nb 1.95
O 0.1930 0.1930 0.7921  1 Nb 1.86
O 0.5195 0.5195 0.0929  2 Nb 1.95
O 0.4805 0.1319 0.9071  2 Nb 1.95
O 0.1319 0.4805 0.9071  2 Nb 1.95
O 0.1229 0.6962 0.0581  3 Nb 2.10-2.17
O 0.0734 0.7016 0.5235  2 Nb 2.01
O 0.5195 0.8681 0.0929  2 Nb 1.95
O 0.1229 0.1229 0.0581  3 Nb 2.10-2.17
O 0.8070 0.1781 0.2079  1 Nb 1.86
O 0.9985 0.9985 0.6320  2 Nb 1.92-2.02
O 0.8771 0.8771 0.9419  3 Nb 2.10-2.17
O 0.2984 0.2984 0.4765  2 Nb 2.01
O 0.1781 0.8070 0.2079  1 Nb 1.86
Rb 0.4530 0.4530 0.6410  6 O 3.26-3.55
Rb 0.5470 0.5470 0.3590  6 O 3.26-3.55
Rb 0.7297 0.7297 0.8109  6 O 3.17-3.19
Rb 0.2703 0.2703 0.1891  6 O 3.17-3.19
Nb 0.6962 0.1958 0.9122  3 O 1.86-1.95
Nb 0.3038 0.8042 0.0878  3 O 1.86-1.95
Nb 0.8042 0.3038 0.0878  3 O 1.86-1.95
Nb 0.1958 0.6962 0.9122  3 O 1.86-1.95
Nb 0.1002 0.1002 0.6995  6 O 1.92-2.13
Nb 0.8998 0.8998 0.3005  6 O 1.92-2.13
Nb 0.0000 0.5000 0.5000  6 O 2.01-2.02
Nb 0.0000 0.0000 0.5000  6 O 2.01-2.02
Nb 0.1958 0.1958 0.9122  3 O 1.86-1.95
Nb 0.5000 0.0000 0.5000  6 O 2.01-2.02
Nb 0.8042 0.8042 0.0878  3 O 1.86-1.95

Values from the calculation:
Electronic total energy in eV per formula unit: -374.6



6.
## RbNbO2 (PBE)

Data for an optimized crystal structure of RbNbO2.

Cell: 4.2659 4.2659 4.2659 Å, 60.00 60.00 60.00°
Closest atoms and distances in Å follow each position.
Fractional coordinates of all 4 atoms:
Rb 0.0000 0.0000 0.0000  8 O 2.61
Nb 0.5000 0.5000 0.5000  8 O 2.61
O 0.7500 0.7500 0.7500  4 Rb 2.61, 4 Nb 2.61
O 0.2500 0.2500 0.2500  4 Nb 2.61, 4 Rb 2.61

Values from the calculation:
Electronic total energy in eV per formula unit: -22.8



Number 1: magnetic moment 0.19 μB/atom. Number 2: magnetic moment 1.12 μB/atom. Number 3: magnetic moment 0.00 μB/atom. Number 4: magnetic moment 0.00 μB/atom. Number 5: magnetic moment 0.02 μB/atom. Number 6: magnetic moment 0.50 μB/atom.